{"formula": "CdPAu2", "functional": "SCAN", "state": "single point on PBEsol structure", "formation_enthalpy_0k_ev_per_atom": 0.08, "final_energy_ev_per_cell": -178.8, "crystal_system": "orthorhombic", "de_polymorph_ev_per_atom": 0.0000, "lattice": [[-2.5499, -0.6762, 1.1226], [0.7626, -4.0686, -0.7185], [2.4479, -0.4728, 5.2752]], "species": ["Au", "Au", "Cd", "P"], "frac_coords": [[0.0000, 0.0000, 0.7512], [0.0000, 0.0000, 0.2488], [0.5000, 0.5000, 0.0000], [0.0000, 0.5000, 0.5000]]}